--- 1 ---
CaZnP3 PBE-GGA optimized geometry; symmetry = Pm-3m (221)
1.0
5.181 0.000 0.000
0.000 5.181 0.000
0.000 0.000 5.181
P Ca Zn
3 1 1
direct
0.000 0.000 0.500 P
0.000 0.500 0.000 P
0.500 0.000 0.000 P
0.000 0.000 0.000 Ca
0.500 0.500 0.500 Zn

--- 2 ---
CaZnP3 PBE-GGA optimized geometry; symmetry = Pm-3m (221)
1.0
-1.345 -4.400 1.057
3.550 -1.710 -2.600
2.807 0.054 3.795
Zn P Ca
1 3 1
direct
0.000 0.000 0.000 Zn
0.500 0.000 0.000 P
0.000 0.000 0.500 P
0.000 0.500 0.000 P
0.500 0.500 0.500 Ca

Energy ordering: 2 at the bottom, the next structure 923 meV/atom above.